No. 1
Entry from the Alexandria database: crystalline Li6GaHg2 at its relaxed geometry (GGA-PBE).

Summary:
The value obtained for the energy of formation from the pure elements is -0.263 eV/atom. As for the crystal system: orthorhombic. For the total magnetization, the calculation gives 0.00 μB per cell. As for the volume: 327.13 Å³/cell. As for the energy above the most stable polymorph in this dataset: 0 meV/atom.

a = 3.0529 Å, b = 13.6249 Å, c = 7.8645 Å
α = 90.00°, β = 90.00°, γ = 90.00°
Closest atoms and distances in Å follow each position.
Space group Amm2 (No. 38)
One atom of each set of equivalent atoms:
Li (0.0000, 0.0000, 0.0000) x2  2 Ga 2.72, 2 Hg 2.83, 4 Li 3.01
Li (0.0000, 0.1432, 0.5714) x4  2 Ga 2.72, 2 Hg 2.83, 4 Li 3.01
Li (0.5000, 0.0000, 0.3531) x2  1 Ga 2.84, 4 Hg 2.94, 8 Li 3.01-3.17
Li (0.5000, 0.1807, 0.8950) x4  1 Ga 2.84, 4 Hg 2.95, 8 Li 3.01-3.16
Ga (0.5000, 0.0000, 0.7139) x2  9 Li 2.72-2.84
Hg (0.0000, 0.1665, 0.2144) x4  9 Li 2.83-2.95, 2 Hg 3.05

No. 2
Entry from the Alexandria database: crystalline Li6Ga3Hg at its relaxed geometry (GGA-PBE).

Summary:
The value obtained for the energy of formation from the pure elements is -0.276 eV/atom. As for the crystal system: monoclinic. For the total magnetization, the calculation gives 0.00 μB per cell. As for the volume: 330.46 Å³/cell. As for the energy above the most stable polymorph in this dataset: 0 meV/atom.

a = 7.8496 Å, b = 4.5273 Å, c = 9.9070 Å
α = 90.00°, β = 110.18°, γ = 90.00°
Closest atoms and distances in Å follow each position.
Space group P2_1/m (No. 11)
One atom of each set of equivalent atoms:
Li (0.0008, 0.2500, 0.3481) x2  5 Ga 2.72-2.89, 5 Li 2.78-2.95, 1 Hg 2.78
Li (0.0173, 0.7500, 0.1625) x2  8 Li 2.78-3.10, 4 Ga 2.83-2.85
Li (0.2055, 0.2500, 0.1247) x2  1 Hg 2.71, 6 Li 2.77-2.91, 4 Ga 2.79-3.04
Li (0.2155, 0.7500, 0.4816) x2  4 Ga 2.75-3.00, 4 Li 2.78-3.00, 3 Hg 2.78-3.01
Li (0.4027, 0.2500, 0.9410) x2  7 Ga 2.74-2.94, 4 Li 2.76-2.77
Li (0.4313, 0.7500, 0.2642) x2  4 Li 2.77-3.05, 4 Ga 2.79-2.95, 3 Hg 2.82-3.02
Ga (0.1909, 0.2500, 0.6524) x2  9 Li 2.72-3.00, 2 Ga 2.76
Ga (0.1991, 0.7500, 0.9580) x2  1 Ga 2.68, 11 Li 2.79-2.99
Ga (0.3828, 0.7500, 0.7750) x2  3 Ga 2.68-2.76, 7 Li 2.74-2.83
Hg (0.3754, 0.2500, 0.4139) x2  8 Li 2.71-3.02